Arrangement a

NaMgAg: optimized geometry, PBE-GGA.

Results
DOS at the Fermi energy   1.021 states/eV per cell
SG   No. 107
Magnetization   0.00 μB per cell

Cell and atoms, written as POSCAR:
```
NaMgAg
1.0
-1.456 -1.471 -2.828
1.389 -3.091 0.893
-4.676 1.050 4.032
Na Mg Ag
1 1 1
Cartesian
-4.641 -3.486 2.030 Na
-1.903 -2.770 0.249 Mg
-2.942 -0.769 1.915 Ag
```



Arrangement b

NaMgAg: optimized geometry, PBE-GGA.

Results
DOS at the Fermi energy   2.788 states/eV per cell
SG   No. 139
Magnetization   0.00 μB per cell

Cell and atoms, written as POSCAR:
```
NaMgAg
1.0
3.515 0.000 0.000
0.000 3.515 0.000
-1.757 -1.757 12.173
Na Ag Mg
2 2 2
Cartesian
0.000 0.000 1.796 Na
1.757 1.757 10.377 Na
1.757 1.757 3.845 Ag
0.000 0.000 8.328 Ag
1.757 1.757 7.024 Mg
0.000 0.000 5.149 Mg
```



What should be chosen as the most stable of them? Choose arrangement b.



Arrangement a

NaMgAg3: optimized geometry, PBE-GGA.

Results
DOS at the Fermi energy   1.815 states/eV per cell
SG   No. 221
Magnetization   0.00 μB per cell

Cell and atoms, written as POSCAR:
```
NaMgAg3
1.0
-1.449 4.476 -1.543
-4.734 -1.374 0.461
-0.011 1.610 4.682
Na Mg Ag
1 1 3
Cartesian
0.000 0.000 0.000 Na
-3.097 2.356 1.800 Mg
-2.367 -0.687 0.230 Ag
-0.006 0.805 2.341 Ag
-0.725 2.238 -0.771 Ag
```



Arrangement b

NaMgAg3: optimized geometry, PBE-GGA.

Results
DOS at the Fermi energy   1.614 states/eV per cell
SG   No. 221
Magnetization   0.00 μB per cell

Cell and atoms, written as POSCAR:
```
NaMgAg3
1.0
5.107 0.000 0.000
0.000 5.107 0.000
0.000 0.000 5.107
Na Mg Ag
1 1 3
Cartesian
2.554 2.554 2.554 Na
0.000 0.000 0.000 Mg
0.000 2.554 0.000 Ag
0.000 0.000 2.554 Ag
2.554 0.000 0.000 Ag
```



What should be chosen as the most stable of them? Choose arrangement b.



Arrangement a

NaMgAgPb: optimized geometry, PBE-GGA.

Results
DOS at the Fermi energy   1.275 states/eV per cell
SG   No. 99
Magnetization   0.00 μB per cell

Cell and atoms, written as POSCAR:
```
NaMgAgPb
1.0
-2.310 -1.937 1.732
2.034 0.095 2.818
-3.697 6.597 2.447
Na Mg Ag Pb
1 1 1 1
Cartesian
-0.354 0.631 0.234 Na
-1.996 3.562 1.321 Mg
-1.446 1.413 3.141 Ag
-3.078 4.325 4.221 Pb
```



Arrangement b

NaMgAgPb: optimized geometry, PBE-GGA.

Results
DOS at the Fermi energy   2.350 states/eV per cell
SG   No. 216
Magnetization   0.00 μB per cell

Cell and atoms, written as POSCAR:
```
NaMgAgPb
1.0
5.076 0.000 0.000
2.538 4.396 0.000
2.538 1.465 4.145
Pb Na Mg Ag
1 1 1 1
Cartesian
0.000 0.000 0.000 Pb
2.538 1.465 1.036 Na
7.615 4.396 3.109 Mg
5.076 2.931 2.072 Ag
```



What should be chosen as the most stable of them? Choose arrangement a.



Arrangement a

Mg2NbAg2: optimized geometry, PBE-GGA.

Results
DOS at the Fermi energy   3.541 states/eV per cell
SG   No. 139
Magnetization   1.55 μB per cell

Cell and atoms, written as POSCAR:
```
Mg2NbAg2
1.0
3.988 0.000 0.000
0.000 3.988 0.000
1.994 1.994 6.242
Nb Mg Ag
1 2 2
Cartesian
0.000 0.000 0.000 Nb
3.988 1.994 3.121 Mg
1.994 3.988 3.121 Mg
1.994 1.994 1.290 Ag
3.988 3.988 4.952 Ag
```



Arrangement b

Mg2NbAg2: optimized geometry, PBE-GGA.

Results
DOS at the Fermi energy   7.057 states/eV per cell
SG   No. 127
Magnetization   1.02 μB per cell

Cell and atoms, written as POSCAR:
```
Mg2NbAg2
1.0
8.004 0.000 0.000
0.000 8.004 0.000
0.000 0.000 2.869
Nb Mg Ag
2 4 4
Cartesian
0.000 0.000 0.000 Nb
4.002 4.002 0.000 Nb
2.938 6.940 0.000 Mg
6.940 5.066 0.000 Mg
5.066 1.064 0.000 Mg
1.064 2.938 0.000 Mg
1.336 5.338 1.434 Ag
5.338 6.668 1.434 Ag
6.668 2.666 1.434 Ag
2.666 1.336 1.434 Ag
```



Arrangement c

Mg2NbAg2: optimized geometry, PBE-GGA.

Results
DOS at the Fermi energy   7.130 states/eV per cell
SG   No. 127
Magnetization   0.00 μB per cell

Cell and atoms, written as POSCAR:
```
Mg2NbAg2
1.0
-6.807 4.223 0.344
-4.042 -6.667 1.872
0.458 0.510 2.804
Nb Mg Ag
2 4 4
Cartesian
0.000 0.000 0.000 Nb
-5.424 -1.222 1.108 Nb
-3.632 -3.493 2.714 Mg
-7.685 -2.453 3.187 Mg
-6.759 1.559 2.307 Mg
-2.705 0.520 1.833 Mg
-6.036 -4.238 1.757 Ag
-8.469 -0.525 1.479 Ag
-4.813 1.794 0.460 Ag
-2.380 -1.919 0.738 Ag
```



What should be chosen as the most stable of them? Choose arrangement c.



Arrangement a

Nd2Mg3Ag4: optimized geometry, PBE-GGA.

Results
DOS at the Fermi energy   13.788 states/eV per cell
SG   No. 64
Magnetization   0.00 μB per cell

Cell and atoms, written as POSCAR:
```
Nd2Mg3Ag4
1.0
-2.943 4.064 3.503
-3.904 -5.990 3.669
7.620 -2.525 3.986
Nd Mg Ag
4 6 8
Cartesian
-1.039 -3.661 3.375 Nd
1.812 -0.790 7.784 Nd
4.501 -0.954 4.888 Nd
-3.728 -3.497 6.270 Nd
0.000 0.000 0.000 Mg
-3.424 -0.963 3.586 Mg
-0.336 -3.743 6.733 Mg
-0.363 1.324 6.177 Mg
1.109 -0.708 4.426 Mg
1.135 -5.775 4.981 Mg
1.719 -3.908 8.651 Ag
-2.418 1.489 4.259 Ag
-0.947 -0.543 2.507 Ag
3.191 -5.940 6.900 Ag
-1.684 -6.010 5.557 Ag
2.457 1.559 5.601 Ag
2.172 -3.168 5.500 Ag
-1.400 -1.283 5.658 Ag
```



Arrangement b

Nd2Mg3Ag4: optimized geometry, PBE-GGA.

Results
DOS at the Fermi energy   6.121 states/eV per cell
SG   No. 12
Magnetization   0.00 μB per cell

Cell and atoms, written as POSCAR:
```
Nd2Mg3Ag4
1.0
4.985 -0.055 0.197
2.452 4.323 0.362
0.395 -0.146 9.559
Nd Mg Ag
2 3 4
Cartesian
2.946 1.401 7.615 Nd
4.885 2.722 2.504 Nd
2.388 1.217 4.131 Mg
0.000 0.000 0.000 Mg
5.444 2.905 5.988 Mg
5.403 2.761 9.029 Ag
7.302 4.059 3.990 Ag
0.530 0.064 6.129 Ag
2.429 1.361 1.089 Ag
```



What should be chosen as the most stable of them? Choose arrangement b.



Arrangement a

Nd3MgAg: optimized geometry, PBE-GGA.

Results
DOS at the Fermi energy   9.787 states/eV per cell
SG   No. 63
Magnetization   0.23 μB per cell

Cell and atoms, written as POSCAR:
```
Nd3MgAg
1.0
5.217 0.000 1.192
0.000 5.354 0.000
0.312 0.000 10.643
Nd Mg Ag
6 2 2
Cartesian
4.007 1.339 2.261 Nd
2.276 1.339 9.836 Nd
3.148 1.339 6.020 Nd
1.418 4.016 1.580 Nd
4.904 4.016 10.347 Nd
0.546 4.016 5.397 Nd
2.711 4.016 7.935 Mg
0.984 1.339 3.481 Mg
3.565 4.016 4.197 Ag
5.346 1.339 8.412 Ag
```



Arrangement b

Nd3MgAg: optimized geometry, PBE-GGA.

Results
DOS at the Fermi energy   21.548 states/eV per cell
SG   No. 15
Magnetization   0.00 μB per cell

Cell and atoms, written as POSCAR:
```
Nd3MgAg
1.0
-4.479 -3.502 -4.436
-5.812 -3.643 2.224
-7.656 11.511 -1.289
Nd Mg Ag
12 4 4
Cartesian
-9.533 6.824 -2.999 Nd
-11.767 3.348 -3.520 Nd
-8.414 -2.458 -0.502 Nd
-6.180 1.018 0.019 Nd
-12.013 2.038 -0.216 Nd
-10.587 7.996 0.195 Nd
-5.934 2.328 -3.285 Nd
-7.359 -3.630 -3.696 Nd
-7.578 9.595 -1.280 Nd
-14.210 0.524 -2.800 Nd
-3.736 3.841 -0.701 Nd
-10.369 -5.230 -2.221 Nd
-13.102 6.469 -2.395 Mg
-8.708 3.648 -1.575 Mg
-4.845 -2.103 -1.106 Mg
-9.239 0.717 -1.926 Mg
-6.734 3.934 0.467 Ag
-2.239 -1.751 -2.218 Ag
-6.834 -0.671 -2.556 Ag
-11.113 5.037 -0.945 Ag
```



What should be chosen as the most stable of them? Choose arrangement a.



Arrangement a

NdMg3Ag3: optimized geometry, PBE-GGA.

Results
DOS at the Fermi energy   9.714 states/eV per cell
SG   No. 223
Magnetization   0.00 μB per cell

Cell and atoms, written as POSCAR:
```
NdMg3Ag3
1.0
-2.518 -5.852 3.440
4.906 0.966 5.236
-4.691 4.152 3.630
Mg Nd Ag
6 2 6
Cartesian
-1.119 2.317 3.124 Mg
1.334 2.801 5.742 Mg
-4.778 0.188 4.442 Mg
0.565 -3.906 5.198 Mg
-2.432 -1.888 2.627 Mg
1.824 -0.980 3.478 Mg
-1.151 -0.367 6.153 Nd
0.000 0.000 0.000 Nd
-2.975 0.613 2.675 Ag
1.280 1.521 3.525 Ag
2.421 -2.201 5.647 Ag
-4.234 -2.314 4.395 Ag
-1.065 3.597 5.340 Ag
-0.032 -2.685 3.029 Ag
```



Arrangement b

NdMg3Ag3: optimized geometry, PBE-GGA.

Results
DOS at the Fermi energy   9.344 states/eV per cell
SG   No. 176
Magnetization   0.00 μB per cell

Cell and atoms, written as POSCAR:
```
NdMg3Ag3
1.0
-1.889 1.748 -4.304
2.611 -6.925 -3.959
-7.647 0.232 3.451
Nd Mg Ag
2 6 6
Cartesian
-5.644 -0.842 -2.247 Nd
-1.281 -4.102 -2.565 Nd
0.530 -4.054 -6.262 Mg
-2.523 -0.263 -3.382 Mg
-4.683 -5.367 -4.507 Mg
-7.456 -0.891 1.450 Mg
-4.402 -4.681 -1.430 Mg
-2.243 0.423 -0.305 Mg
-1.971 -4.982 -5.541 Ag
-0.800 -1.892 -4.800 Ag
-3.906 -2.808 -3.809 Ag
-4.955 0.038 0.730 Ag
-6.126 -3.052 -0.012 Ag
-3.020 -2.136 -1.003 Ag
```



What should be chosen as the most stable of them? Choose arrangement b.



Arrangement a

NdMgAg4: optimized geometry, PBE-GGA.

Results
DOS at the Fermi energy   4.459 states/eV per cell
SG   No. 216
Magnetization   0.00 μB per cell

Cell and atoms, written as POSCAR:
```
NdMgAg4
1.0
5.653 0.000 0.000
2.827 4.896 0.000
2.827 1.632 4.616
Mg Nd Ag
1 1 4
Cartesian
0.000 0.000 0.000 Mg
2.827 1.632 1.154 Nd
5.653 3.264 0.566 Ag
5.653 1.622 2.888 Ag
7.075 4.085 2.888 Ag
4.231 4.085 2.888 Ag
```



Arrangement b

NdMgAg4: optimized geometry, PBE-GGA.

Results
DOS at the Fermi energy   2.168 states/eV per cell
SG   No. 191
Magnetization   0.00 μB per cell

Cell and atoms, written as POSCAR:
```
NdMgAg4
1.0
4.745 0.000 0.000
-2.373 4.109 0.000
0.000 0.000 6.729
Nd Mg Ag
1 1 4
Cartesian
0.000 0.000 3.364 Nd
0.000 0.000 0.000 Mg
0.000 2.740 1.474 Ag
0.000 2.740 5.254 Ag
2.373 1.370 1.474 Ag
2.373 1.370 5.254 Ag
```



What should be chosen as the most stable of them? Choose arrangement a.



Arrangement a

Nd2MgAg6: optimized geometry, PBE-GGA.

Results
DOS at the Fermi energy   5.262 states/eV per cell
SG   No. 191
Magnetization   0.00 μB per cell

Cell and atoms, written as POSCAR:
```
Nd2MgAg6
1.0
3.275 -0.001 0.000
-0.001 7.284 4.192
-0.003 0.018 8.404
Nd Mg Ag
2 1 6
Cartesian
3.273 2.434 4.200 Nd
-0.003 4.867 8.397 Nd
0.000 0.000 0.000 Mg
1.635 4.915 11.223 Ag
1.636 0.006 2.753 Ag
1.636 2.386 1.373 Ag
1.636 4.905 5.571 Ag
1.635 7.295 9.843 Ag
1.635 2.396 7.025 Ag
```



Arrangement b

Nd2MgAg6: optimized geometry, PBE-GGA.

Results
DOS at the Fermi energy   5.134 states/eV per cell
SG   No. 164
Magnetization   0.00 μB per cell

Cell and atoms, written as POSCAR:
```
Nd2MgAg6
1.0
5.868 -0.025 -0.014
0.031 6.301 0.009
0.031 3.147 5.459
Nd Mg Ag
2 1 6
Cartesian
4.986 6.276 3.632 Nd
0.945 3.146 1.821 Nd
0.000 0.000 0.000 Mg
1.950 4.854 4.468 Ag
1.963 7.723 4.470 Ag
1.950 6.292 1.983 Ag
3.980 4.569 0.985 Ag
3.967 1.699 0.983 Ag
3.980 3.131 3.470 Ag
```



What should be chosen as the most stable of them? Choose arrangement b.



Arrangement a

Nd3Mg2Ag4: optimized geometry, PBE-GGA.

Results
DOS at the Fermi energy   7.345 states/eV per cell
SG   No. 12
Magnetization   0.00 μB per cell

Cell and atoms, written as POSCAR:
```
Nd3Mg2Ag4
1.0
4.807 0.000 0.000
-2.404 5.014 0.186
0.000 -1.045 9.260
Nd Mg Ag
3 2 4
Cartesian
0.000 3.000 5.713 Nd
0.000 0.000 0.000 Nd
2.404 0.969 3.732 Nd
0.000 3.019 2.166 Mg
2.404 0.949 7.279 Mg
2.404 1.983 0.842 Ag
0.000 -0.057 6.028 Ag
2.404 4.025 3.417 Ag
0.000 1.985 8.603 Ag
```



Arrangement b

Nd3Mg2Ag4: optimized geometry, PBE-GGA.

Results
DOS at the Fermi energy   6.117 states/eV per cell
SG   No. 12
Magnetization   0.00 μB per cell

Cell and atoms, written as POSCAR:
```
Nd3Mg2Ag4
1.0
4.733 0.000 1.398
2.132 5.479 1.494
0.086 -0.238 8.420
Nd Mg Ag
3 2 4
Cartesian
3.025 3.243 7.179 Nd
0.000 0.000 0.000 Nd
3.925 1.998 4.133 Nd
3.787 5.282 4.598 Mg
3.163 -0.041 6.714 Mg
2.133 2.085 1.490 Ag
4.817 3.156 9.822 Ag
0.930 1.287 5.561 Ag
6.020 3.955 5.751 Ag
```



What should be chosen as the most stable of them? Choose arrangement b.